! Tc2WCl2 | the Alexandria database | GGA-PBE | optimized geometry; values from VASP
&SYSTEM
  ibrav = 0, nat = 5, ntyp = 3
/
ATOMIC_SPECIES
Tc 98.00 Tc.upf
W 183.84 W.upf
Cl 35.45 Cl.upf
CELL_PARAMETERS angstrom
-2.1318 2.1318 4.5678
2.1318 -2.1318 4.5678
2.1318 2.1318 -4.5678
ATOMIC_POSITIONS crystal
Tc 0.2500 0.7500 0.5000
Tc 0.7500 0.2500 0.5000
W 0.0000 0.0000 0.0000
Cl 0.3604 0.3604 0.0000
Cl 0.6396 0.6396 0.0000
! Theoretical density ... 9.01 g cm⁻³
! Polymorph energy (0 for the lowest one) ... 249 meV/atom
! Formation energy from raw total energies ... 1390 meV per atom

***

! Nb3TlPb | the Alexandria database | GGA-PBE | optimized geometry; values from VASP
&SYSTEM
  ibrav = 0, nat = 5, ntyp = 3
/
ATOMIC_SPECIES
Nb 92.91 Nb.upf
Tl 204.38 Tl.upf
Pb 207.20 Pb.upf
CELL_PARAMETERS angstrom
5.1396 0.0000 0.0000
0.0000 5.1396 0.0000
0.0000 0.0000 5.1396
ATOMIC_POSITIONS crystal
Nb 0.0000 0.0000 0.5000
Nb 0.0000 0.5000 0.0000
Nb 0.5000 0.0000 0.0000
Tl 0.0000 0.0000 0.0000
Pb 0.5000 0.5000 0.5000
! Theoretical density ... 8.44 g cm⁻³
! DFT formation energy ... 9.0 eV/f.u.
! Polymorph energy (0 for the lowest one) ... 0 meV/atom